[1]
The following is a DFT calculation (PBE-GGA) of an optimized crystal structure of LiCa2NdSe4.

a = 7.177 Å, b = 4.222 Å, c = 7.244 Å
α = 90.00°, β = 108.87°, γ = 90.00°
Element x y z (fractional)
Li 0.000 0.000 0.000
Ca 0.000 0.500 0.500
Ca 0.500 0.000 0.500
Nd 0.500 0.500 0.000
Se 0.246 0.000 0.755
Se 0.249 0.500 0.248
Se 0.751 0.500 0.752
Se 0.754 0.000 0.245

Values from the calculation:
- formation energy without anion corrections (eV/atom) = -1.823


[2]
The following is a DFT calculation (PBE-GGA) of an optimized crystal structure of Li2CaNd2Si2.

a = 9.568 Å, b = 9.568 Å, c = 9.568 Å
α = 27.67°, β = 27.67°, γ = 27.67°
Element x y z (fractional)
Li 0.101 0.101 0.101
Li 0.899 0.899 0.899
Ca 0.500 0.500 0.500
Nd 0.373 0.373 0.373
Nd 0.627 0.627 0.627
Si 0.241 0.241 0.241
Si 0.759 0.759 0.759

Values from the calculation:
- formation energy without anion corrections (eV/atom) = -0.363


[3]
The following is a DFT calculation (PBE-GGA) of an optimized crystal structure of Li2CaNd2Sn2.

a = 9.773 Å, b = 9.773 Å, c = 9.773 Å
α = 28.87°, β = 28.87°, γ = 28.87°
Element x y z (fractional)
Li 0.100 0.100 0.100
Li 0.900 0.900 0.900
Ca 0.500 0.500 0.500
Nd 0.371 0.371 0.371
Nd 0.629 0.629 0.629
Sn 0.240 0.240 0.240
Sn 0.760 0.760 0.760


[4]
The following is a DFT calculation (PBE-GGA) of an optimized crystal structure of Li2CaNdSn2.

a = 4.837 Å, b = 4.837 Å, c = 7.505 Å
α = 90.00°, β = 90.00°, γ = 120.00°
Element x y z (fractional)
Li 0.333 0.667 0.257
Li 0.667 0.333 0.743
Ca 0.000 0.000 0.500
Nd 0.000 0.000 0.000
Sn 0.333 0.667 0.763
Sn 0.667 0.333 0.237


[5]
The following is a DFT calculation (PBE-GGA) of an optimized crystal structure of SrLiCaNd.

a = 5.980 Å, b = 5.980 Å, c = 5.980 Å
α = 60.00°, β = 60.00°, γ = 60.00°
Element x y z (fractional)
Sr 0.000 0.000 0.000
Li 0.250 0.250 0.250
Ca 0.750 0.750 0.750
Nd 0.500 0.500 0.500


[6]
The following is a DFT calculation (PBE-GGA) of an optimized crystal structure of LiCa3Nd3Te8.

a = 9.002 Å, b = 9.002 Å, c = 9.002 Å
α = 59.80°, β = 59.80°, γ = 59.80°
Element x y z (fractional)
Li 0.000 0.000 0.000
Ca 0.000 0.000 0.500
Ca 0.000 0.500 0.000
Ca 0.500 0.000 0.000
Nd 0.000 0.500 0.500
Nd 0.500 0.000 0.500
Nd 0.500 0.500 0.000
Te 0.245 0.245 0.752
Te 0.245 0.752 0.245
Te 0.248 0.755 0.755
Te 0.249 0.249 0.249
Te 0.751 0.751 0.751
Te 0.752 0.245 0.245
Te 0.755 0.248 0.755
Te 0.755 0.755 0.248

Values from the calculation:
- formation energy without anion corrections (eV/atom) = -1.413


[7]
The following is a DFT calculation (PBE-GGA) of an optimized crystal structure of LiCaNd2Te4.

a = 7.689 Å, b = 4.454 Å, c = 7.781 Å
α = 90.00°, β = 109.24°, γ = 90.00°
Element x y z (fractional)
Li 0.000 0.000 0.000
Ca 0.500 0.500 0.000
Nd 0.000 0.500 0.500
Nd 0.500 0.000 0.500
Te 0.243 0.500 0.241
Te 0.247 0.000 0.758
Te 0.753 0.000 0.242
Te 0.757 0.500 0.759

Values from the calculation:
- formation energy without anion corrections (eV/atom) = -1.418


[8]
The following is a DFT calculation (PBE-GGA) of an optimized crystal structure of Li2CaNdTl2.

a = 4.973 Å, b = 4.973 Å, c = 7.393 Å
α = 90.00°, β = 90.00°, γ = 120.00°
Element x y z (fractional)
Li 0.333 0.667 0.256
Li 0.667 0.333 0.744
Ca 0.000 0.000 0.000
Nd 0.000 0.000 0.500
Tl 0.333 0.667 0.724
Tl 0.667 0.333 0.276


[9]
The following is a DFT calculation (PBE-GGA) of an optimized crystal structure of LiCa2NdTl4.

a = 9.468 Å, b = 9.468 Å, c = 9.468 Å
α = 33.01°, β = 33.01°, γ = 33.01°
Element x y z (fractional)
Li 0.000 0.000 0.000
Ca 0.254 0.254 0.254
Ca 0.746 0.746 0.746
Nd 0.500 0.500 0.500
Tl 0.121 0.121 0.121
Tl 0.373 0.373 0.373
Tl 0.627 0.627 0.627
Tl 0.879 0.879 0.879


[10]
The following is a DFT calculation (PBE-GGA) of an optimized crystal structure of Li2CaNi.

a = 4.348 Å, b = 4.348 Å, c = 5.488 Å
α = 113.18°, β = 113.18°, γ = 59.85°
Element x y z (fractional)
Li 0.000 0.000 0.000
Li 0.720 0.720 0.159
Ca 0.200 0.200 0.601
Ni 0.408 0.408 0.224

Values from the calculation:
- excess energy over the best structure of this formula in the dataset (eV per formula unit) = 0.00


[11]
The following is a DFT calculation (PBE-GGA) of an optimized crystal structure of Li2Ca2Ni.

a = 9.584 Å, b = 9.584 Å, c = 9.584 Å
α = 158.33°, β = 158.33°, γ = 30.83°
Element x y z (fractional)
Li 0.250 0.750 0.500
Li 0.750 0.250 0.500
Ca 0.089 0.089 0.000
Ca 0.911 0.911 0.000
Ni 0.500 0.500 0.000

Values from the calculation:
- excess energy over the best structure of this formula in the dataset (eV per formula unit) = 0.00


[12]
The following is a DFT calculation (PBE-GGA) of an optimized crystal structure of Li2Ca2Ni.

a = 6.981 Å, b = 6.981 Å, c = 4.809 Å
α = 90.00°, β = 90.00°, γ = 90.00°
Element x y z (fractional)
Li 0.137 0.363 0.000
Li 0.363 0.863 0.000
Li 0.637 0.137 0.000
Li 0.863 0.637 0.000
Ca 0.190 0.690 0.500
Ca 0.310 0.190 0.500
Ca 0.690 0.810 0.500
Ca 0.810 0.310 0.500
Ni 0.000 0.000 0.000
Ni 0.500 0.500 0.000

Values from the calculation:
- excess energy over the best structure of this formula in the dataset (eV per formula unit) = 0.45


[13]
The following is a DFT calculation (PBE-GGA) of an optimized crystal structure of Li2CaNi.

a = 5.740 Å, b = 5.740 Å, c = 5.740 Å
α = 145.87°, β = 131.87°, γ = 60.31°
Element x y z (fractional)
Li 0.207 0.207 0.000
Li 0.793 0.793 0.000
Ca 0.500 0.000 0.500
Ni 0.000 0.500 0.500

Values from the calculation:
- excess energy over the best structure of this formula in the dataset (eV per formula unit) = 0.00


[14]
The following is a DFT calculation (PBE-GGA) of an optimized crystal structure of Li2CaNi9.

a = 8.089 Å, b = 8.089 Å, c = 4.741 Å
α = 90.00°, β = 90.00°, γ = 90.00°
Element x y z (fractional)
Li 0.115 0.385 0.000
Li 0.385 0.885 0.000
Li 0.615 0.115 0.000
Li 0.885 0.615 0.000
Ca 0.000 0.000 0.000
Ca 0.500 0.500 0.000
Ni 0.000 0.500 0.500
Ni 0.063 0.211 0.500
Ni 0.180 0.680 0.244
Ni 0.180 0.680 0.756
Ni 0.211 0.937 0.500
Ni 0.289 0.437 0.500
Ni 0.320 0.180 0.244
Ni 0.320 0.180 0.756
Ni 0.437 0.711 0.500
Ni 0.500 0.000 0.500
Ni 0.563 0.289 0.500
Ni 0.680 0.820 0.244
Ni 0.680 0.820 0.756
Ni 0.711 0.563 0.500
Ni 0.789 0.063 0.500
Ni 0.820 0.320 0.244
Ni 0.820 0.320 0.756
Ni 0.937 0.789 0.500


[15]
The following is a DFT calculation (PBE-GGA) of an optimized crystal structure of Li2Ca8Ni.

a = 12.451 Å, b = 12.451 Å, c = 8.075 Å
α = 98.37°, β = 98.37°, γ = 18.35°
Element x y z (fractional)
Li 0.207 0.207 0.385
Li 0.793 0.793 0.615
Ca 0.003 0.003 0.747
Ca 0.218 0.218 0.821
Ca 0.380 0.380 0.934
Ca 0.389 0.389 0.457
Ca 0.611 0.611 0.543
Ca 0.620 0.620 0.066
Ca 0.782 0.782 0.179
Ca 0.997 0.997 0.253
Ni 0.500 0.500 0.500


[16]
The following is a DFT calculation (PBE-GGA) of an optimized crystal structure of Li2CaNi.

a = 3.363 Å, b = 3.383 Å, c = 7.018 Å
α = 90.00°, β = 90.00°, γ = 90.00°
Element x y z (fractional)
Li 0.000 0.000 0.000
Li 0.500 0.500 0.215
Ca 0.500 0.500 0.624
Ni 0.000 0.000 0.381

Values from the calculation:
- excess energy over the best structure of this formula in the dataset (eV per formula unit) = 0.06


[17]
The following is a DFT calculation (PBE-GGA) of an optimized crystal structure of LiCaNi.

a = 5.412 Å, b = 5.412 Å, c = 5.412 Å
α = 122.00°, β = 117.82°, γ = 90.19°
Element x y z (fractional)
Li 0.000 0.244 0.244
Li 0.000 0.756 0.756
Ca 0.390 0.390 0.000
Ca 0.630 0.130 0.500
Ni 0.035 0.757 0.278
Ni 0.479 0.757 0.722

Values from the calculation:
- excess energy over the best structure of this formula in the dataset (eV per formula unit) = 0.17


[18]
The following is a DFT calculation (PBE-GGA) of an optimized crystal structure of LiCaNi.

a = 4.578 Å, b = 4.578 Å, c = 4.578 Å
α = 60.00°, β = 60.00°, γ = 60.00°
Element x y z (fractional)
Li 0.000 0.000 0.000
Ca 0.500 0.500 0.500
Ni 0.250 0.250 0.250

Values from the calculation:
- excess energy over the best structure of this formula in the dataset (eV per formula unit) = 0.77


[19]
The following is a DFT calculation (PBE-GGA) of an optimized crystal structure of LiCaNi3.

a = 4.673 Å, b = 4.673 Å, c = 4.673 Å
α = 90.00°, β = 90.00°, γ = 90.00°
Element x y z (fractional)
Li 0.000 0.000 0.000
Ca 0.500 0.500 0.500
Ni 0.000 0.500 0.500
Ni 0.500 0.000 0.500
Ni 0.500 0.500 0.000

Values from the calculation:
- excess energy over the best structure of this formula in the dataset (eV per formula unit) = 4.53


[20]
The following is a DFT calculation (PBE-GGA) of an optimized crystal structure of LiCaNi.

a = 5.598 Å, b = 5.598 Å, c = 5.656 Å
α = 92.80°, β = 92.80°, γ = 43.02°
Element x y z (fractional)
Li 0.000 0.000 0.000
Li 0.575 0.575 0.693
Ca 0.310 0.310 0.723
Ca 0.717 0.717 0.239
Ni 0.437 0.437 0.271
Ni 0.991 0.991 0.462

Values from the calculation:
- excess energy over the best structure of this formula in the dataset (eV per formula unit) = 0.13


[21]
The following is a DFT calculation (PBE-GGA) of an optimized crystal structure of LiCaNi.

a = 5.466 Å, b = 5.466 Å, c = 5.466 Å
α = 122.35°, β = 103.57°, γ = 103.32°
Element x y z (fractional)
Li 0.176 0.250 0.426
Li 0.824 0.750 0.574
Ca 0.174 0.599 0.075
Ca 0.524 0.099 0.925
Ni 0.683 0.183 0.500
Ni 0.683 0.683 0.000

Values from the calculation:
- excess energy over the best structure of this formula in the dataset (eV per formula unit) = 0.20


[22]
The following is a DFT calculation (PBE-GGA) of an optimized crystal structure of Li6CaNi6.

a = 6.501 Å, b = 6.501 Å, c = 6.501 Å
α = 136.18°, β = 98.98°, γ = 97.02°
Element x y z (fractional)
Li 0.145 0.500 0.645
Li 0.159 0.159 0.000
Li 0.300 0.000 0.300
Li 0.700 0.000 0.700
Li 0.841 0.841 0.000
Li 0.855 0.500 0.355
Ca 0.500 0.500 0.000
Ni 0.000 0.000 0.500
Ni 0.000 0.500 0.000
Ni 0.267 0.767 0.500
Ni 0.500 0.000 0.000
Ni 0.500 0.500 0.500
Ni 0.733 0.233 0.500


[23]
The following is a DFT calculation (PBE-GGA) of an optimized crystal structure of Li2CaNi.

a = 4.029 Å, b = 4.029 Å, c = 4.816 Å
α = 90.00°, β = 90.00°, γ = 90.00°
Element x y z (fractional)
Li 0.000 0.500 0.000
Li 0.500 0.000 0.000
Ca 0.000 0.000 0.500
Ni 0.500 0.500 0.500

Values from the calculation:
- excess energy over the best structure of this formula in the dataset (eV per formula unit) = 0.23


[24]
The following is a DFT calculation (PBE-GGA) of an optimized crystal structure of Li2CaNi.

a = 5.520 Å, b = 5.520 Å, c = 5.520 Å
α = 45.69°, β = 45.69°, γ = 45.69°
Element x y z (fractional)
Li 0.207 0.207 0.207
Li 0.793 0.793 0.793
Ca 0.000 0.000 0.000
Ni 0.500 0.500 0.500

Values from the calculation:
- excess energy over the best structure of this formula in the dataset (eV per formula unit) = 0.26


Values of M_tot, in order: 0.00 0.00 0.00 0.00 0.00 0.00 0.00 0.00 0.00 0.00 0.00 0.00 0.00 0.37 0.00 0.00 0.00 0.00 0.00 0.00 0.00 0.00 0.00 0.00, all in μB/atom.
Values of calculated volume, in order: 25.96 23.81 27.48 25.34 37.81 34.23 31.45 26.39 28.03 19.99 23.99 23.43 19.57 12.93 35.45 19.96 18.67 22.61 20.41 20.13 20.14 13.57 19.54 19.63, all in A^3/atom.
Values of total DFT energy (no corrections), in order: -4.90 -4.11 -3.82 -3.70 -2.39 -4.57 -4.67 -2.86 -2.87 -2.85 -2.64 -2.55 -2.85 -4.89 -2.32 -2.84 -3.24 -3.04 -2.96 -3.25 -3.23 -3.77 -2.80 -2.79, all in eV/atom.